Record 1
# RbAcSO5 | Alexandria via LeMat-Bulk | PBE-GGA | optimized geometry
data_RbAcSO5
_symmetry_space_group_name_H-M 'P 1'
_symmetry_Int_Tables_number 1
_symmetry_space_group_name_Hall 'P 1'
_cell_length_a 6.5259
_cell_length_b 6.5259
_cell_length_c 8.4988
_cell_angle_alpha 105.18
_cell_angle_beta 105.18
_cell_angle_gamma 105.22
loop_
_atom_site_label
_atom_site_type_symbol
_atom_site_fract_x
_atom_site_fract_y
_atom_site_fract_z
Rb1 Rb 0.1636 0.8364 0.7500
Rb2 Rb 0.8364 0.1636 0.2500
Ac1 Ac 0.5000 0.5000 0.0000
Ac2 Ac 0.5000 0.5000 0.5000
S1 S 0.1831 0.8169 0.2500
S2 S 0.8169 0.1831 0.7500
O1 O 0.0522 0.2500 0.8756
O2 O 0.1905 0.6571 0.3483
O3 O 0.2500 0.0522 0.3756
O4 O 0.3429 0.8095 0.1517
O5 O 0.4178 0.5822 0.7500
O6 O 0.5822 0.4178 0.2500
O7 O 0.6571 0.1905 0.8483
O8 O 0.7500 0.9478 0.6244
O9 O 0.8095 0.3429 0.6517
O10 O 0.9478 0.7500 0.1244
# space-group type	C2/c
# uncorrected formation energy	-17.35	eV/f.u.

Record 2
# SmTm2MgRh4 | Alexandria via LeMat-Bulk | PBE-GGA | optimized geometry
data_SmTm2MgRh4
_symmetry_space_group_name_H-M 'P 1'
_symmetry_Int_Tables_number 1
_symmetry_space_group_name_Hall 'P 1'
_cell_length_a 8.2406
_cell_length_b 8.2406
_cell_length_c 8.2406
_cell_angle_alpha 33.34
_cell_angle_beta 33.34
_cell_angle_gamma 33.34
loop_
_atom_site_label
_atom_site_type_symbol
_atom_site_fract_x
_atom_site_fract_y
_atom_site_fract_z
Sm1 Sm 0.0000 0.0000 0.0000
Tm1 Tm 0.2436 0.2436 0.2436
Tm2 Tm 0.7564 0.7564 0.7564
Mg1 Mg 0.5000 0.5000 0.5000
Rh1 Rh 0.1258 0.1258 0.1258
Rh2 Rh 0.3781 0.3781 0.3781
Rh3 Rh 0.6219 0.6219 0.6219
Rh4 Rh 0.8742 0.8742 0.8742
# space-group type	R-3m
# energy relative to the elements	-809	meV per atom

Record 3
# Y2PN4 | Alexandria via LeMat-Bulk | PBE-GGA | optimized geometry
data_Y2PN4
_symmetry_space_group_name_H-M 'P 1'
_symmetry_Int_Tables_number 1
_symmetry_space_group_name_Hall 'P 1'
_cell_length_a 7.8960
_cell_length_b 6.8957
_cell_length_c 5.8576
_cell_angle_alpha 76.02
_cell_angle_beta 57.94
_cell_angle_gamma 46.04
loop_
_atom_site_label
_atom_site_type_symbol
_atom_site_fract_x
_atom_site_fract_y
_atom_site_fract_z
Y1 Y 0.0620 0.6880 0.0620
Y2 Y 0.3120 0.9380 0.3120
Y3 Y 0.6880 0.0620 0.6880
Y4 Y 0.9380 0.3120 0.9380
P1 P 0.3750 0.3750 0.3750
P2 P 0.6250 0.6250 0.6250
N1 N 0.1771 0.7056 0.3636
N2 N 0.2537 0.3636 0.7056
N3 N 0.2944 0.8229 0.7463
N4 N 0.3636 0.2537 0.1771
N5 N 0.6364 0.7463 0.8229
N6 N 0.7056 0.1771 0.2537
N7 N 0.7463 0.6364 0.2944
N8 N 0.8229 0.2944 0.6364
# space-group type	Fddd
# uncorrected formation energy	-7.45	eV/f.u.

Record 4
# CaScPt2 | Alexandria via LeMat-Bulk | PBE-GGA | optimized geometry
data_CaScPt2
_symmetry_space_group_name_H-M 'P 1'
_symmetry_Int_Tables_number 1
_symmetry_space_group_name_Hall 'P 1'
_cell_length_a 4.0221
_cell_length_b 4.0221
_cell_length_c 9.5098
_cell_angle_alpha 90.00
_cell_angle_beta 90.00
_cell_angle_gamma 90.00
loop_
_atom_site_label
_atom_site_type_symbol
_atom_site_fract_x
_atom_site_fract_y
_atom_site_fract_z
Ca1 Ca 0.0000 0.0000 0.0000
Ca2 Ca 0.5000 0.5000 0.5000
Sc1 Sc 0.0000 0.5000 0.2500
Sc2 Sc 0.5000 0.0000 0.7500
Pt1 Pt 0.0000 0.0000 0.5000
Pt2 Pt 0.0000 0.5000 0.7500
Pt3 Pt 0.5000 0.0000 0.2500
Pt4 Pt 0.5000 0.5000 0.0000
# space-group type	I-4m2
# energy relative to the elements	-852	meV per atom

Record 5
# BeAsP2 | Alexandria via LeMat-Bulk | PBE-GGA | optimized geometry
data_BeAsP2
_symmetry_space_group_name_H-M 'P 1'
_symmetry_Int_Tables_number 1
_symmetry_space_group_name_Hall 'P 1'
_cell_length_a 10.8779
_cell_length_b 3.5341
_cell_length_c 5.8617
_cell_angle_alpha 90.00
_cell_angle_beta 121.16
_cell_angle_gamma 90.00
loop_
_atom_site_label
_atom_site_type_symbol
_atom_site_fract_x
_atom_site_fract_y
_atom_site_fract_z
Be1 Be 0.0000 0.0000 0.0000
Be2 Be 0.5000 0.5000 0.0000
As1 As 0.1074 0.5000 0.8735
As2 As 0.6074 0.0000 0.8735
P1 P 0.0735 0.5000 0.2446
P2 P 0.3729 0.0000 0.8122
P3 P 0.5735 0.0000 0.2446
P4 P 0.8729 0.5000 0.8122
# relative energy among the computed polymorphs	226	meV per atom
# space-group type	Cm
# energy relative to the elements	240	meV per atom

Record 6
# SiAgPt2 | Alexandria via LeMat-Bulk | PBE-GGA | optimized geometry
data_SiAgPt2
_symmetry_space_group_name_H-M 'P 1'
_symmetry_Int_Tables_number 1
_symmetry_space_group_name_Hall 'P 1'
_cell_length_a 3.8510
_cell_length_b 3.8510
_cell_length_c 8.3872
_cell_angle_alpha 90.00
_cell_angle_beta 90.00
_cell_angle_gamma 90.00
loop_
_atom_site_label
_atom_site_type_symbol
_atom_site_fract_x
_atom_site_fract_y
_atom_site_fract_z
Si1 Si 0.0000 0.0000 0.0000
Si2 Si 0.5000 0.5000 0.5000
Ag1 Ag 0.0000 0.5000 0.7500
Ag2 Ag 0.5000 0.0000 0.2500
Pt1 Pt 0.0000 0.0000 0.5000
Pt2 Pt 0.0000 0.5000 0.2500
Pt3 Pt 0.5000 0.0000 0.7500
Pt4 Pt 0.5000 0.5000 0.0000
# space-group type	I-4m2
# uncorrected formation energy	-0.23	eV/f.u.

no.,mass density (g cm⁻³),total energy (eV/atom),volume (Å³/f.u.)
1,4.474,-6.42,157.6
2,10.197,-6.39,150.5
3,4.621,-8.44,95.2
4,10.258,-5.96,76.9
5,2.512,-4.56,96.4
6,14.048,-5.15,62.2